VASP calculation (GGA+U) on crystalline SrCaCeNiO6 at its relaxed geometry.

a b c (Å): 8.079 8.079 8.079
angles (deg): 90.00 90.00 90.00
Space group F-43m (No. 216)
Inequivalent atoms, fractional coordinates:
Sr (0.000, 0.000, 0.000) x4
Ca (0.000, 0.000, 0.500) x4
Ce (0.250, 0.250, 0.750) x4
Ni (0.250, 0.250, 0.250) x4
O (0.019, 0.250, 0.250) x24

**Total moment**: 0.00 μB/cell
**Raw total energy**: -257.70 eV/cell